# 1
VASP calculation (GGA-PBE) on a geometry-optimized NaNbAg2Sn structure.

abc: 4.6295 4.6295 5.1762
angles: 90.00 90.00 90.00
Atoms (fractional coordinates):
1 Na 0.0000 0.0000 0.0000
2 Nb 0.5000 0.5000 0.5000
3 Ag 0.0000 0.5000 0.0000
4 Ag 0.5000 0.0000 0.0000
5 Sn 0.0000 0.0000 0.5000

Calculated values
The value obtained for the formation enthalpy at 0 K is 1.14 eV per atom.



# 2
VASP calculation (GGA-PBE) on a geometry-optimized NaNbAg2Te4 structure.

abc: 6.6988 7.6462 11.1244
angles: 90.00 90.00 90.00
Atoms (fractional coordinates):
1 Na 0.0000 0.0000 0.0000
2 Na 0.5000 0.5000 0.5000
3 Nb 0.0000 0.5000 0.0000
4 Nb 0.5000 0.0000 0.5000
5 Ag 0.0000 0.1841 0.5000
6 Ag 0.0000 0.8159 0.5000
7 Ag 0.5000 0.3159 0.0000
8 Ag 0.5000 0.6841 0.0000
9 Te 0.1981 0.3007 0.8437
10 Te 0.1981 0.6993 0.1563
11 Te 0.3019 0.1993 0.3437
12 Te 0.3019 0.8007 0.6563
13 Te 0.6981 0.1993 0.6563
14 Te 0.6981 0.8007 0.3437
15 Te 0.8019 0.3007 0.1563
16 Te 0.8019 0.6993 0.8437

Calculated values
The value obtained for the uncorrected formation energy is -231 meV per atom.



# 3
VASP calculation (GGA-PBE) on a geometry-optimized Na2NbAgTe4 structure.

abc: 8.3649 8.3649 6.9081
angles: 90.00 90.00 90.00
Atoms (fractional coordinates):
1 Na 0.0000 0.5000 0.0000
2 Na 0.0000 0.5000 0.5000
3 Na 0.5000 0.0000 0.0000
4 Na 0.5000 0.0000 0.5000
5 Nb 0.0000 0.0000 0.0000
6 Nb 0.5000 0.5000 0.5000
7 Ag 0.0000 0.0000 0.5000
8 Ag 0.5000 0.5000 0.0000
9 Te 0.1818 0.1818 0.7732
10 Te 0.1818 0.8182 0.2268
11 Te 0.3182 0.3182 0.2732
12 Te 0.3182 0.6818 0.7268
13 Te 0.6818 0.3182 0.7268
14 Te 0.6818 0.6818 0.2732
15 Te 0.8182 0.1818 0.2268
16 Te 0.8182 0.8182 0.7732

Calculated values
The value obtained for the uncorrected formation energy is -447 meV per atom.



# 4
VASP calculation (GGA-PBE) on a geometry-optimized NaNbTl2Ag structure.

abc: 5.5581 5.5581 5.7837
angles: 90.00 90.00 90.00
Atoms (fractional coordinates):
1 Na 0.0000 0.0000 0.0000
2 Nb 0.0000 0.0000 0.5000
3 Tl 0.0000 0.5000 0.5000
4 Tl 0.5000 0.0000 0.5000
5 Ag 0.5000 0.5000 0.0000

Calculated values
The value obtained for the formation enthalpy at 0 K is 1.02 eV per atom.



# 5
VASP calculation (GGA-PBE) on a geometry-optimized NaNdAg structure.

abc: 5.1806 5.1806 3.4068
angles: 90.00 90.00 120.00
Atoms (fractional coordinates):
1 Na 0.0000 0.0000 0.0000
2 Nd 0.3333 0.6667 0.5000
3 Ag 0.6667 0.3333 0.0000

Calculated values
As for the energy above the lowest structure with this stoichiometry: 45 meV per atom. The value obtained for the formation enthalpy at 0 K is 0.07 eV per atom.



# 6
VASP calculation (GGA-PBE) on a geometry-optimized NaNdAg4 structure.

abc: 5.7102 5.7102 5.7102
angles: 60.00 60.00 60.00
Atoms (fractional coordinates):
1 Na 0.0000 0.0000 0.0000
2 Nd 0.2500 0.2500 0.2500
3 Ag 0.1229 0.6257 0.6257
4 Ag 0.6257 0.1229 0.6257
5 Ag 0.6257 0.6257 0.1229
6 Ag 0.6257 0.6257 0.6257

Calculated values
The value obtained for the formation enthalpy at 0 K is -0.12 eV per atom.



# 7
VASP calculation (GGA-PBE) on a geometry-optimized NaNd2Ag structure.

abc: 7.7342 7.7342 7.7342
angles: 90.00 90.00 90.00
Atoms (fractional coordinates):
1 Na 0.0000 0.0000 0.0000
2 Na 0.0000 0.5000 0.5000
3 Na 0.5000 0.0000 0.5000
4 Na 0.5000 0.5000 0.0000
5 Nd 0.2500 0.2500 0.2500
6 Nd 0.2500 0.2500 0.7500
7 Nd 0.2500 0.7500 0.2500
8 Nd 0.2500 0.7500 0.7500
9 Nd 0.7500 0.2500 0.2500
10 Nd 0.7500 0.2500 0.7500
11 Nd 0.7500 0.7500 0.2500
12 Nd 0.7500 0.7500 0.7500
13 Ag 0.0000 0.0000 0.5000
14 Ag 0.0000 0.5000 0.0000
15 Ag 0.5000 0.0000 0.0000
16 Ag 0.5000 0.5000 0.5000

Calculated values
As for the energy above the lowest structure with this stoichiometry: 71 meV per atom. The value obtained for the formation enthalpy at 0 K is 0.09 eV per atom.



# 8
VASP calculation (GGA-PBE) on a geometry-optimized NaNd4Ag5 structure.

abc: 3.6923 3.6923 19.0274
angles: 90.00 90.00 90.00
Atoms (fractional coordinates):
1 Na 0.0000 0.0000 0.0000
2 Nd 0.0000 0.0000 0.1944
3 Nd 0.0000 0.0000 0.3986
4 Nd 0.0000 0.0000 0.6014
5 Nd 0.0000 0.0000 0.8056
6 Ag 0.5000 0.5000 0.0964
7 Ag 0.5000 0.5000 0.2969
8 Ag 0.5000 0.5000 0.5000
9 Ag 0.5000 0.5000 0.7031
10 Ag 0.5000 0.5000 0.9036

Calculated values
The value obtained for the formation enthalpy at 0 K is -0.19 eV per atom.



# 9
VASP calculation (GGA-PBE) on a geometry-optimized NaNd2Ag structure.

abc: 5.2914 5.2914 4.1367
angles: 90.00 90.00 90.00
Atoms (fractional coordinates):
1 Na 0.0000 0.0000 0.0000
2 Nd 0.0000 0.5000 0.5000
3 Nd 0.5000 0.0000 0.5000
4 Ag 0.5000 0.5000 0.0000

Calculated values
As for the energy above the lowest structure with this stoichiometry: 73 meV per atom. The value obtained for the formation enthalpy at 0 K is 0.09 eV per atom.



# 10
VASP calculation (GGA-PBE) on a geometry-optimized NaNd2Ag structure.

abc: 3.5305 3.5305 10.0353
angles: 90.00 90.00 90.00
Atoms (fractional coordinates):
1 Na 0.0000 0.0000 0.0000
2 Nd 0.5000 0.5000 0.2981
3 Nd 0.5000 0.5000 0.7019
4 Ag 0.0000 0.0000 0.5000

Calculated values
As for the energy above the lowest structure with this stoichiometry: 0 meV per atom. The value obtained for the formation enthalpy at 0 K is 0.02 eV per atom.



# 11
VASP calculation (GGA-PBE) on a geometry-optimized NaNd2Ag structure.

abc: 3.5176 3.5176 36.1764
angles: 90.00 90.00 120.00
Atoms (fractional coordinates):
1 Na 0.0000 0.0000 0.0000
2 Na 0.3333 0.6667 0.6667
3 Na 0.6667 0.3333 0.3333
4 Nd 0.0000 0.0000 0.0986
5 Nd 0.0000 0.0000 0.9014
6 Nd 0.3333 0.6667 0.5681
7 Nd 0.3333 0.6667 0.7653
8 Nd 0.6667 0.3333 0.2347
9 Nd 0.6667 0.3333 0.4319
10 Ag 0.0000 0.0000 0.5000
11 Ag 0.3333 0.6667 0.1667
12 Ag 0.6667 0.3333 0.8333

Calculated values
As for the energy above the lowest structure with this stoichiometry: 120 meV per atom. The value obtained for the formation enthalpy at 0 K is 0.14 eV per atom.



# 12
VASP calculation (GGA-PBE) on a geometry-optimized NaNdAg structure.

abc: 3.6114 3.6114 13.2783
angles: 90.00 90.00 90.00
Atoms (fractional coordinates):
1 Na 0.0000 0.0000 0.0000
2 Na 0.5000 0.5000 0.5000
3 Nd 0.0000 0.0000 0.7190
4 Nd 0.5000 0.5000 0.2190
5 Ag 0.0000 0.0000 0.3584
6 Ag 0.5000 0.5000 0.8584

Calculated values
As for the energy above the lowest structure with this stoichiometry: 0 meV per atom. The value obtained for the formation enthalpy at 0 K is 0.03 eV per atom.



| no. | energy (eV/atom) | magnetization (μB/cell) | mass density (kg/m3) |
| --- | --- | --- | --- |
| 1 | -3.0753 | 0.0 | 6741 |
| 2 | -3.9382 | 0.0 | 4908 |
| 3 | -3.9628 | 0.0 | 5202 |
| 4 | -2.7772 | 3.0 | 5878 |
| 5 | -2.9081 | 0.2 | 5769 |
| 6 | -3.0332 | 0.0 | 7551 |
| 7 | -3.3365 | 2.8 | 6021 |
| 8 | -3.6555 | 0.0 | 7293 |
| 9 | -3.3342 | 0.5 | 6012 |
| 10 | -3.4076 | 0.0 | 5567 |
| 11 | -3.2880 | 0.0 | 5389 |
| 12 | -2.9535 | 0.0 | 5276 |